Record 1
First-principles (PBEsol) data for a relaxed structure of AsRh2Br, as listed in Alexandria via LeMat-Bulk.

Values from the calculation:
Its space-group type is R-3m, No. 166.

Cell: 3.721 3.721 6.286 Å, 72.78 72.78 60.00°
Atoms (fractional coordinates):
As 0.500 0.500 0.500
Rh 0.225 0.225 0.326
Rh 0.775 0.775 0.674
Br 0.000 0.000 0.000


Record 2
First-principles (PBEsol) data for a relaxed structure of AsRhBr2, as listed in Alexandria via LeMat-Bulk.

Values from the calculation:
Its space-group type is P3m1, No. 156.

Cell: 3.684 3.684 8.038 Å, 90.00 90.00 120.00°
Atoms (fractional coordinates):
As 0.333 0.667 0.333
Rh 0.667 0.333 0.465
Br 0.333 0.667 0.044
Br 0.000 0.000 0.659


Record 3
First-principles (PBEsol) data for a relaxed structure of As2RhBr, as listed in Alexandria via LeMat-Bulk.

Values from the calculation:
Its space-group type is P4mm, No. 99.

Cell: 3.297 3.297 7.068 Å, 90.00 90.00 90.00°
Atoms (fractional coordinates):
As 0.000 0.000 0.964
As 0.500 0.500 0.175
Rh 0.500 0.500 0.814
Br 0.000 0.000 0.546


Record 4
First-principles (PBEsol) data for a relaxed structure of AsRh2Br, as listed in Alexandria via LeMat-Bulk.

Values from the calculation:
Its space-group type is R3m, No. 160.

Cell: 3.785 3.785 6.824 Å, 73.90 73.90 60.00°
Atoms (fractional coordinates):
As 0.459 0.459 0.622
Rh 0.004 0.004 0.987
Rh 0.756 0.756 0.732
Br 0.281 0.281 0.158


Record 5
First-principles (PBEsol) data for a relaxed structure of As2RhBr, as listed in Alexandria via LeMat-Bulk.

Values from the calculation:
Its space-group type is Cm, No. 8.

Cell: 3.394 4.532 6.731 Å, 107.82 90.00 111.99°
Atoms (fractional coordinates):
As 0.068 0.136 0.077
As 0.215 0.429 0.838
Rh 0.797 0.595 0.140
Br 0.420 0.841 0.445


Record 6
First-principles (PBEsol) data for a relaxed structure of AsRhBr2, as listed in Alexandria via LeMat-Bulk.

Values from the calculation:
Its space-group type is Amm2, No. 38.

Cell: 3.567 5.035 5.393 Å, 117.89 90.00 90.00°
Atoms (fractional coordinates):
As 0.500 0.314 0.629
Rh 0.000 0.474 0.947
Br 0.000 0.017 0.034
Br 0.500 0.695 0.390


Across the entries above, excess energy over the best structure of this formula in the dataset takes the values 0; 0; 93; 91; 13; 79 kJ/mol of formula units, respectively.
Across the entries above, energy relative to the elements, uncorrected takes the values -0.15; -0.42; 0.09; 0.09; -0.11; -0.22 eV per atom, respectively.